Material: AcMnSe2
Method: DFT, PBE-GGA
State: relaxed

a = 3.9639 Å, b = 3.9639 Å, c = 9.0192 Å
α = 77.31°, β = 77.31°, γ = 60.00°
Last column: nearest neighbours and their distance in Å.
Sites, in units of the cell vectors:
Ac 0.0000 0.0000 0.0000  2 Se 3.00
Mn 0.5000 0.5000 0.5000  6 Se 2.66
Se 0.1148 0.1148 0.6556  3 Mn 2.66
Se 0.8852 0.8852 0.3444  3 Mn 2.66

Calculated values
As for the symmetry: R-3m. For the energy above the most stable polymorph in this dataset, the calculation gives 681.0 meV per atom. The final energy comes out at -22.44 eV/cell. Its total magnetic moment is 1.115 μB/atom. The value obtained for the energy relative to the elements, uncorrected is -0.549 eV/atom.